{"formula": "SrLa2Tc", "functional": "PBE-GGA", "state": "optimized geometry", "formation_enthalpy_0k_ev_per_atom": 0.436, "crystal_system": "cubic", "e_above_lowest_polymorph_mev_per_atom": 334, "lattice_angstrom": [[0.000, 3.842, 3.842], [3.842, 0.000, 3.842], [3.842, 3.842, 0.000]], "species": ["Sr", "La", "La", "Tc"], "fractional_positions": [[0.000, 0.000, 0.000], [0.250, 0.250, 0.250], [0.750, 0.750, 0.750], [0.500, 0.500, 0.500]]}

=====

{"formula": "Th2GaSe", "functional": "PBE-GGA", "state": "optimized geometry", "crystal_system": "trigonal", "e_above_lowest_polymorph_mev_per_atom": 0, "formation_energy_uncorrected_ev_per_fu": -3.87, "lattice_angstrom": [[2.171, 1.254, 6.810], [-2.171, 1.254, 6.810], [0.000, -2.507, 6.810]], "species": ["Th", "Th", "Ga", "Se"], "fractional_positions": [[0.248, 0.248, 0.248], [0.752, 0.752, 0.752], [0.500, 0.500, 0.500], [0.000, 0.000, 0.000]]}

=====

{"formula": "Hf4ZnNi", "functional": "PBE-GGA", "state": "optimized geometry", "formation_enthalpy_0k_ev_per_atom": -0.217, "crystal_system": "tetragonal", "lattice_angstrom": [[6.641, 0.000, 0.000], [0.000, 6.641, 0.000], [0.000, 0.000, 5.123]], "species": ["Hf", "Hf", "Hf", "Hf", "Hf", "Hf", "Hf", "Hf", "Zn", "Zn", "Ni", "Ni"], "fractional_positions": [[0.149, 0.332, 0.000], [0.149, 0.668, 0.500], [0.332, 0.149, 0.500], [0.332, 0.851, 0.000], [0.668, 0.149, 0.000], [0.668, 0.851, 0.500], [0.851, 0.332, 0.500], [0.851, 0.668, 0.000], [0.500, 0.500, 0.250], [0.500, 0.500, 0.750], [0.000, 0.000, 0.250], [0.000, 0.000, 0.750]]}

=====

{"formula": "PmBPdRh2", "functional": "PBE-GGA", "state": "optimized geometry", "formation_enthalpy_0k_ev_per_atom": -0.745, "crystal_system": "tetragonal", "lattice_angstrom": [[4.266, 0.000, 0.000], [0.000, 4.266, 0.000], [0.000, 0.000, 4.288]], "species": ["Pm", "B", "Pd", "Rh", "Rh"], "fractional_positions": [[0.000, 0.000, 0.000], [0.500, 0.500, 0.500], [0.500, 0.500, 0.000], [0.000, 0.500, 0.500], [0.500, 0.000, 0.500]]}

=====

{"formula": "FeOsPt2", "functional": "PBE-GGA", "state": "optimized geometry", "formation_enthalpy_0k_ev_per_atom": 0.034, "crystal_system": "orthorhombic", "e_above_lowest_polymorph_mev_per_atom": 61, "lattice_angstrom": [[2.721, 0.000, 0.000], [0.000, 3.814, 0.000], [0.000, 0.000, 5.570]], "species": ["Fe", "Os", "Pt", "Pt"], "fractional_positions": [[0.000, 0.000, 0.000], [0.500, 0.500, 0.233], [0.000, 0.000, 0.477], [0.500, 0.500, 0.754]]}

=====

{"formula": "TlReSi2", "functional": "PBE-GGA", "state": "optimized geometry", "crystal_system": "trigonal", "e_above_lowest_polymorph_mev_per_atom": 122, "formation_energy_uncorrected_ev_per_fu": 1.17, "lattice_angstrom": [[1.575, 0.910, 8.735], [-1.575, 0.910, 8.735], [0.000, -1.819, 8.735]], "species": ["Tl", "Re", "Si", "Si"], "fractional_positions": [[0.000, 0.000, 0.000], [0.500, 0.500, 0.500], [0.231, 0.231, 0.231], [0.769, 0.769, 0.769]]}

=====

Number 1: electronic total energy -20.2 eV for the cell shown. Number 2: electronic total energy -25.2 eV for the cell shown. Number 3: electronic total energy -96.3 eV for the cell shown. Number 4: electronic total energy -35.0 eV for the cell shown. Number 5: electronic total energy -31.6 eV for the cell shown. Number 6: electronic total energy -24.5 eV for the cell shown.